Density functional theory data (GGA-PBE) for an optimized crystal structure of SmSnBi.

Lattice parameters (Å, degrees): 4.132 4.132 10.363 90.00 90.00 90.00
Space group I4mm (No. 107)
Symmetry-distinct sites (fractional):
Sm1 0.000 0.000 0.000 (multiplicity 2)
Sn1 0.000 0.000 0.660 (multiplicity 2)
Bi1 0.000 0.000 0.343 (multiplicity 2)

Results
ΔE to the lowest computed polymorph	210.6	meV/atom
Fermi-level density of states	5.90	states/eV/cell